Record 1
## AsBrCl4 (PBE-GGA)

Data for a relaxed AsBrCl4 crystal.

Results
- space-group type = C2/c (15)
- excess energy over the best structure of this formula in the dataset (meV per atom) = 0
- formation energy without anion corrections (eV per atom) = -0.407

Unit cell a=9.7295 b=9.7295 c=6.4562 alpha=92.82 beta=92.82 gamma=134.06
Last column: nearest neighbours and their distance in Å.
Atoms (fractional coordinates):
1 As 0.0505 0.9495 0.7500  6 Cl 2.52-2.54
2 As 0.9495 0.0505 0.2500  6 Cl 2.52-2.54
3 Br 0.3515 0.6485 0.2500  2 Cl 2.41
4 Br 0.6485 0.3515 0.7500  2 Cl 2.41
5 Cl 0.0318 0.3426 0.1289  1 Br 2.41, 1 As 2.54
6 Cl 0.1431 0.2370 0.5983  2 As 2.52-2.54
7 Cl 0.2370 0.1431 0.0983  2 As 2.52-2.54
8 Cl 0.3426 0.0318 0.6289  1 Br 2.41, 1 As 2.54
9 Cl 0.6574 0.9682 0.3711  1 Br 2.41, 1 As 2.54
10 Cl 0.7630 0.8569 0.9017  2 As 2.52-2.54
11 Cl 0.8569 0.7630 0.4017  2 As 2.52-2.54
12 Cl 0.9682 0.6574 0.8711  1 Br 2.41, 1 As 2.54


Record 2
## SrCuTc2 (PBE-GGA)

Data for a relaxed SrCuTc2 crystal.

Results
- space-group type = Imm2 (44)
- formation energy (eV per atom) = 0.716
- excess energy over the best structure of this formula in the dataset (meV per atom) = 418

Unit cell a=4.1629 b=5.0242 c=7.1545 alpha=90.00 beta=90.00 gamma=90.00
Last column: nearest neighbours and their distance in Å.
Atoms (fractional coordinates):
1 Sr 0.0000 0.0000 0.0000  4 Cu 2.88-2.97, 4 Tc 2.90-2.95
2 Sr 0.5000 0.5000 0.5000  4 Cu 2.88-2.97, 4 Tc 2.90-2.95
3 Cu 0.0000 0.5000 0.7780  4 Tc 2.75-3.08, 4 Sr 2.88-2.97
4 Cu 0.5000 0.0000 0.2780  4 Tc 2.75-3.08, 4 Sr 2.88-2.97
5 Tc 0.0000 0.0000 0.5292  2 Tc 2.48, 2 Cu 2.75
6 Tc 0.0000 0.5000 0.2172  2 Tc 2.48
7 Tc 0.5000 0.0000 0.7172  2 Tc 2.48
8 Tc 0.5000 0.5000 0.0292  2 Tc 2.48, 2 Cu 2.75


Record 3
## La11Pr4Dy9 (PBE-GGA)

Data for a relaxed La11Pr4Dy9 crystal.

Results
- space-group type = Cmmm (65)
- formation energy (eV per atom) = 0.069

Unit cell a=15.6078 b=15.6078 c=3.7590 alpha=90.00 beta=90.00 gamma=112.99
Last column: nearest neighbours and their distance in Å.
Atoms (fractional coordinates):
1 La 0.0000 0.0000 0.0000  8 Dy 3.58, 2 La 3.76
2 La 0.0448 0.4071 0.0000  2 Pr 3.48, 6 Dy 3.59-3.80, 3 La 3.68-3.76
3 La 0.1585 0.8415 0.0000  5 La 3.76-4.13, 8 Dy 3.76
4 La 0.2900 0.2900 0.0000  4 Pr 3.36, 4 Dy 3.74
5 La 0.3667 0.6333 0.0000  4 Pr 3.38, 4 Dy 3.69, 2 La 3.76
6 La 0.4071 0.0448 0.0000  2 Pr 3.48, 6 Dy 3.59-3.80, 3 La 3.68-3.76
7 La 0.5929 0.9552 0.0000  2 Pr 3.48, 6 Dy 3.59-3.80, 3 La 3.68-3.76
8 La 0.6333 0.3667 0.0000  4 Pr 3.38, 4 Dy 3.69, 2 La 3.76
9 La 0.7100 0.7100 0.0000  4 Pr 3.36, 4 Dy 3.74
10 La 0.8415 0.1585 0.0000  5 La 3.76-4.13, 8 Dy 3.76
11 La 0.9552 0.5929 0.0000  2 Pr 3.48, 6 Dy 3.59-3.80, 3 La 3.68-3.76
12 Pr 0.2440 0.4451 0.5000  6 La 3.36-3.48, 3 Dy 3.63-3.74
13 Pr 0.4451 0.2440 0.5000  6 La 3.36-3.48, 3 Dy 3.63-3.74
14 Pr 0.5549 0.7560 0.5000  6 La 3.36-3.48, 3 Dy 3.63-3.74
15 Pr 0.7560 0.5549 0.5000  6 La 3.36-3.48, 3 Dy 3.63-3.74
16 Dy 0.0652 0.2112 0.5000  8 La 3.58-3.76, 1 Pr 3.63, 3 Dy 3.76-3.80
17 Dy 0.1640 0.6349 0.5000  3 Dy 3.47-3.76, 8 La 3.59-3.80, 1 Pr 3.64
18 Dy 0.2112 0.0652 0.5000  8 La 3.58-3.76, 1 Pr 3.63, 3 Dy 3.76-3.80
19 Dy 0.3651 0.8360 0.5000  3 Dy 3.47-3.76, 8 La 3.59-3.80, 1 Pr 3.64
20 Dy 0.5000 0.5000 0.5000  4 Pr 3.74, 2 Dy 3.76, 8 La 3.95-4.08
21 Dy 0.6349 0.1640 0.5000  3 Dy 3.47-3.76, 8 La 3.59-3.80, 1 Pr 3.64
22 Dy 0.7888 0.9348 0.5000  8 La 3.58-3.76, 1 Pr 3.63, 3 Dy 3.76-3.80
23 Dy 0.8360 0.3651 0.5000  3 Dy 3.47-3.76, 8 La 3.59-3.80, 1 Pr 3.64
24 Dy 0.9348 0.7888 0.5000  8 La 3.58-3.76, 1 Pr 3.63, 3 Dy 3.76-3.80